RbHgPd2S: relaxed, GGA-PBE.

abc: 4.6316 4.6316 6.3131
angles: 90.00 90.00 90.00
Last column: nearest neighbours and their distance in Å.
Sites, in units of the cell vectors:
Rb: 0.0000 0.0000 0.0000  2 S 3.16, 4 Hg 3.28
Hg: 0.5000 0.5000 0.0000  4 Rb 3.28
Pd: 0.0000 0.5000 0.5000  2 S 2.32
Pd: 0.5000 0.0000 0.5000  2 S 2.32
S: 0.0000 0.0000 0.5000  4 Pd 2.32

Results
crystal system = tetragonal

=====

RbHgPd4S2: relaxed, GGA-PBE.

abc: 4.4003 4.4003 9.3976
angles: 90.00 90.00 90.00
Last column: nearest neighbours and their distance in Å.
Sites, in units of the cell vectors:
Rb: 0.0000 0.0000 0.0000  8 Pd 3.66, 8 S 3.79
Hg: 0.0000 0.0000 0.5000  8 Pd 2.83
Pd: 0.0000 0.5000 0.3114  2 S 2.33
Pd: 0.0000 0.5000 0.6886  2 S 2.33
Pd: 0.5000 0.0000 0.3114  2 S 2.33
Pd: 0.5000 0.0000 0.6886  2 S 2.33
S: 0.5000 0.5000 0.2306  4 Pd 2.33
S: 0.5000 0.5000 0.7694  4 Pd 2.33

Results
crystal system = tetragonal

=====

Rb2HgPdS: relaxed, GGA-PBE.

abc: 6.4489 6.4489 4.5421
angles: 90.00 90.00 90.00
Last column: nearest neighbours and their distance in Å.
Sites, in units of the cell vectors:
Rb: 0.0000 0.5000 0.0000  2 S 3.22
Rb: 0.5000 0.0000 0.0000  2 S 3.22
Hg: 0.0000 0.0000 0.5000  8 Rb 3.94
Pd: 0.5000 0.5000 0.5000  2 S 2.27
S: 0.5000 0.5000 0.0000  2 Pd 2.27

Results
crystal system = tetragonal

=====

RbHgSbPd2: relaxed, GGA-PBE.

abc: 6.8728 4.6520 10.2098
angles: 90.00 104.42 90.00
Last column: nearest neighbours and their distance in Å.
Sites, in units of the cell vectors:
Rb: 0.0678 0.2500 0.2580  4 Pd 3.49-3.87, 3 Sb 3.79-3.80, 1 Hg 3.88
Rb: 0.9322 0.7500 0.7420  4 Pd 3.49-3.87, 3 Sb 3.79-3.80, 1 Hg 3.88
Hg: 0.3790 0.7500 0.0614  4 Pd 2.77-2.88
Hg: 0.6210 0.2500 0.9386  4 Pd 2.77-2.88
Sb: 0.3275 0.7500 0.5401  4 Pd 2.65-2.66
Sb: 0.6725 0.2500 0.4599  4 Pd 2.65-2.66
Pd: 0.4549 0.7500 0.8073  1 Sb 2.65, 3 Hg 2.77-2.78, 2 Pd 2.84
Pd: 0.4673 0.2500 0.6494  3 Sb 2.65-2.66, 2 Pd 2.84, 1 Hg 2.88
Pd: 0.5327 0.7500 0.3506  3 Sb 2.65-2.66, 2 Pd 2.84, 1 Hg 2.88
Pd: 0.5451 0.2500 0.1927  1 Sb 2.65, 3 Hg 2.77-2.78, 2 Pd 2.84

Results
crystal system = monoclinic

=====

| no. | ΔE_f (raw) (eV/atom) | spin magnetization (μB/f.u.) |
| --- | --- | --- |
| 1 | -0.14 | 0.00 |
| 2 | -0.35 | 0.00 |
| 3 | -0.46 | 0.00 |
| 4 | -0.27 | 0.00 |